No. 1
Compound: InBrCl2
Source: the Alexandria database
Functional: PBE
Structure: optimized geometry

Calculated values
DOS(E_F) in states/eV per cell: 2.04
Relative energy among the computed polymorphs in kJ per mole of atoms: 65.7

a b c (Å): 4.011 6.562 4.203
angles (deg): 90.00 90.00 90.00
Atoms (fractional coordinates):
Cl (0.000, 0.000, 0.000)
Cl (0.500, 0.500, 0.000)
Br (0.000, 0.500, 0.500)
In (0.500, 0.000, 0.500)

---

No. 2
Compound: In3Br4Cl2
Source: the Alexandria database
Functional: PBE
Structure: optimized geometry

Calculated values
DOS(E_F) in states/eV per cell: 13.72
E in eV/atom: -2.807

a b c (Å): 10.052 10.052 7.038
angles (deg): 72.63 72.63 74.02
Atoms (fractional coordinates):
In (0.310, 0.143, 0.033)
In (0.857, 0.690, 0.467)
In (0.690, 0.857, 0.967)
In (0.143, 0.310, 0.533)
In (0.439, 0.561, 0.250)
In (0.561, 0.439, 0.750)
Br (0.207, 0.046, 0.446)
Br (0.954, 0.793, 0.054)
Br (0.793, 0.954, 0.554)
Br (0.046, 0.207, 0.946)
Br (0.600, 0.129, 0.044)
Br (0.871, 0.400, 0.456)
Br (0.400, 0.871, 0.956)
Br (0.129, 0.600, 0.544)
Cl (0.399, 0.263, 0.620)
Cl (0.737, 0.601, 0.880)
Cl (0.601, 0.737, 0.380)
Cl (0.263, 0.399, 0.120)

---

No. 3
Compound: InBrCl2
Source: the Alexandria database
Functional: PBE
Structure: optimized geometry

Calculated values
DOS(E_F) in states/eV per cell: 0.00
Relative energy among the computed polymorphs in kJ per mole of atoms: 23.7

a b c (Å): 9.048 9.048 6.973
angles (deg): 49.55 49.55 90.00
Atoms (fractional coordinates):
Cl (0.752, 0.125, 0.250)
Cl (0.998, 0.625, 0.250)
Cl (0.375, 0.248, 0.750)
Cl (0.875, 0.002, 0.750)
Br (0.500, 0.500, 0.000)
Br (0.250, 0.750, 0.500)
In (0.000, 0.000, 0.000)
In (0.750, 0.250, 0.500)

---

No. 4
Compound: InBrCl2
Source: the Alexandria database
Functional: PBE
Structure: optimized geometry

Calculated values
DOS(E_F) in states/eV per cell: 4.54
Relative energy among the computed polymorphs in kJ per mole of atoms: 71.6

a b c (Å): 5.045 5.045 5.045
angles (deg): 60.00 60.00 60.00
Atoms (fractional coordinates):
Cl (0.000, 0.000, 0.000)
Cl (0.750, 0.750, 0.750)
Br (0.500, 0.500, 0.500)
In (0.250, 0.250, 0.250)

---

No. 5
Compound: In4Br2Cl3
Source: the Alexandria database
Functional: PBE
Structure: optimized geometry

Calculated values
DOS(E_F) in states/eV per cell: 3.96
E in eV/atom: -2.944

a b c (Å): 6.239 9.746 9.746
angles (deg): 78.90 77.22 77.22
Atoms (fractional coordinates):
In (0.467, 0.945, 0.241)
In (0.033, 0.759, 0.055)
In (0.533, 0.055, 0.759)
In (0.967, 0.241, 0.945)
In (0.907, 0.172, 0.453)
In (0.593, 0.547, 0.828)
In (0.093, 0.828, 0.547)
In (0.407, 0.453, 0.172)
Br (0.364, 0.227, 0.412)
Br (0.136, 0.588, 0.773)
Br (0.636, 0.773, 0.588)
Br (0.864, 0.412, 0.227)
Cl (0.967, 0.019, 0.198)
Cl (0.533, 0.802, 0.981)
Cl (0.033, 0.981, 0.802)
Cl (0.467, 0.198, 0.019)
Cl (0.250, 0.643, 0.357)
Cl (0.750, 0.357, 0.643)

---

No. 6
Compound: InBrCl2
Source: the Alexandria database
Functional: PBE
Structure: optimized geometry

Calculated values
DOS(E_F) in states/eV per cell: 2.83
Relative energy among the computed polymorphs in kJ per mole of atoms: 87.8

a b c (Å): 11.017 11.017 11.017
angles (deg): 19.51 19.51 19.51
Last column: magnetic moment on the atom in μB.
Atoms (fractional coordinates):
Cl (0.928, 0.928, 0.928)  0.12
Cl (0.072, 0.072, 0.072)  0.12
Br (0.500, 0.500, 0.500)  0.65
In (0.000, 0.000, 0.000)  0.09

---

No. 7
Compound: InBrCl4
Source: the Alexandria database
Functional: PBE
Structure: optimized geometry

Calculated values
DOS(E_F) in states/eV per cell: 8.79
Relative energy among the computed polymorphs in kJ per mole of atoms: 101.8

a b c (Å): 6.005 6.005 6.005
angles (deg): 60.00 60.00 60.00
Last column: magnetic moment on the atom in μB.
Atoms (fractional coordinates):
In (0.750, 0.750, 0.750)  0.06
Br (0.000, 0.000, 0.000)  0.40
Cl (0.878, 0.374, 0.374)  -0.18
Cl (0.374, 0.374, 0.878)  -0.18
Cl (0.374, 0.878, 0.374)  -0.18
Cl (0.374, 0.374, 0.374)  -0.18

---

No. 8
Compound: In6Br5Cl7
Source: the Alexandria database
Functional: PBE
Structure: optimized geometry

Calculated values
E in eV/atom: -2.971

a b c (Å): 7.125 7.125 12.282
angles (deg): 90.00 90.00 84.43
Atoms (fractional coordinates):
In (0.004, 0.004, 0.167)
In (0.004, 0.004, 0.833)
In (0.971, 0.971, 0.500)
In (0.499, 0.499, 0.336)
In (0.505, 0.505, 0.000)
In (0.499, 0.499, 0.664)
Br (0.325, 0.325, 0.167)
Br (0.325, 0.325, 0.833)
Br (0.319, 0.319, 0.500)
Br (0.680, 0.680, 0.169)
Br (0.680, 0.680, 0.831)
Cl (0.243, 0.765, 0.000)
Cl (0.244, 0.765, 0.665)
Cl (0.244, 0.765, 0.336)
Cl (0.663, 0.663, 0.500)
Cl (0.765, 0.243, 0.000)
Cl (0.765, 0.244, 0.665)
Cl (0.765, 0.244, 0.336)

---

Quick rundown of magnetization, same order as above: 0.00, 0.00, 0.00, 0.00, 0.00, 1.43, 0.25, 0.00 Bohr magnetons per cell